The following is a DFT calculation (meta-GGA SCAN) of a crystal of MgTlTe2 relaxed with PBEsol.

Cell lengths 3.9106, 4.0181, 15.0271 Å; angles 90.00, 90.00, 90.00 degrees
Space group Imm2 (No. 44)
Inequivalent atoms, fractional coordinates:
Mg 0.0000 0.0000 0.0000
Tl 0.0000 0.5000 0.2471
Te 0.0000 0.0000 0.5739
Te 0.0000 0.5000 0.8562

Computed properties:
Formation energy (no corrections), meV per atom: -379
Volume, Å³ per atom: 29.5